(1)
InAgIr: optimized geometry, PBE.

a = 7.503 Å, b = 7.225 Å, c = 2.950 Å
α = 83.80°, β = 73.20°, γ = 23.01°
Atoms (fractional coordinates):
In 0.000 0.000 0.000
Ag 0.325 0.325 0.675
Ir 0.659 0.659 0.341

Magnetization in Bohr magnetons per cell: 0.0
ΔE_f in kJ per mole of atoms: 31
V in Å³ per atom: 18.07
Calculated total energy in eV/atom: -4.49
Offset from the most stable computed form in kJ per mole of atoms: 23.2

(2)
InAgIr: optimized geometry, PBE.

a = 9.617 Å, b = 9.617 Å, c = 9.617 Å
α = 158.31°, β = 158.31°, γ = 30.86°
Atoms (fractional coordinates):
In 0.112 0.112 0.000
In 0.888 0.888 0.000
Ag 0.282 0.282 0.000
Ag 0.718 0.718 0.000
Ir 0.434 0.434 0.000
Ir 0.566 0.566 0.000

Magnetization in Bohr magnetons per cell: 0.0
ΔE_f in kJ per mole of atoms: 34
V in Å³ per atom: 20.23
Calculated total energy in eV/atom: -4.47
Offset from the most stable computed form in kJ per mole of atoms: 25.8

(3)
In4AgIr: optimized geometry, PBE.

a = 5.766 Å, b = 5.766 Å, c = 5.766 Å
α = 60.00°, β = 60.00°, γ = 60.00°
Atoms (fractional coordinates):
In 0.125 0.125 0.125
In 0.125 0.125 0.626
In 0.125 0.626 0.125
In 0.626 0.125 0.125
Ag 0.500 0.500 0.500
Ir 0.750 0.750 0.750

Magnetization in Bohr magnetons per cell: 0.0
ΔE_f in kJ per mole of atoms: 63
V in Å³ per atom: 22.59
Calculated total energy in eV/atom: -3.13

(4)
InAgIr: optimized geometry, PBE.

a = 5.576 Å, b = 5.576 Å, c = 5.576 Å
α = 146.29°, β = 146.29°, γ = 48.41°
Atoms (fractional coordinates):
In 0.000 0.000 0.000
Ag 0.321 0.321 0.000
Ir 0.649 0.649 0.000

Magnetization in Bohr magnetons per cell: 0.0
ΔE_f in kJ per mole of atoms: 18
V in Å³ per atom: 17.72
Calculated total energy in eV/atom: -4.63
Offset from the most stable computed form in kJ per mole of atoms: 9.7